Record 1
Be3Sb | PBE-GGA | optimized geometry Values from VASP.

Structure (Quantum ESPRESSO input):
```
&SYSTEM
  ibrav = 0, nat = 4, ntyp = 2
/
ATOMIC_SPECIES
Be 9.01 Be.upf
Sb 121.76 Sb.upf
ATOMIC_POSITIONS angstrom
Be 0.056 -0.071 0.083
Be 2.633 -0.447 1.727
Be 3.158 2.104 0.083
Sb 1.040 1.825 1.645
CELL_PARAMETERS angstrom
4.641 -0.002 -0.019
1.580 4.363 0.019
-2.993 -2.347 2.658
```

Computed properties:
* volume: 53.9 Å³ per cell
* formation energy from raw total energies: 0.656 eV/atom
* magnetization: 0.00 μB/f.u.
* space group: Imm2
* relative energy among the computed polymorphs: 266 meV/atom



Record 2
HfZnRh | PBE-GGA | optimized geometry Values from VASP.

Structure (Quantum ESPRESSO input):
```
&SYSTEM
  ibrav = 0, nat = 6, ntyp = 3
/
ATOMIC_SPECIES
Hf 178.49 Hf.upf
Zn 65.41 Zn.upf
Rh 102.91 Rh.upf
ATOMIC_POSITIONS angstrom
Hf 2.137 2.625 1.301
Hf 0.000 1.911 3.902
Zn 2.137 0.000 2.601
Rh 2.137 3.616 3.902
Rh 0.000 0.919 1.301
Zn 2.137 0.000 0.000
CELL_PARAMETERS angstrom
4.274 0.000 0.000
-2.137 4.536 0.000
0.000 0.000 5.202
```

Computed properties:
* energy of formation: -695 meV per atom
* volume: 100.9 Å³ per cell
* magnetization: 0.00 μB/f.u.
* space group: Cmcm



Record 3
Na2PuF4 | PBE-GGA | optimized geometry Values from VASP.

Structure (Quantum ESPRESSO input):
```
&SYSTEM
  ibrav = 0, nat = 14, ntyp = 3
/
ATOMIC_SPECIES
Na 22.99 Na.upf
F 19.00 F.upf
Pu 244.00 Pu.upf
ATOMIC_POSITIONS angstrom
Na 3.412 1.829 1.193
Na 3.288 5.279 1.250
F 3.576 -1.521 3.480
F 4.931 3.613 1.096
Na -1.655 -0.126 3.689
Pu -0.084 3.404 2.498
Na 1.795 -0.001 3.633
F 1.759 3.498 1.150
F 3.462 1.651 3.534
F 0.014 1.519 3.787
F 0.128 -1.653 3.733
F 1.892 0.045 1.290
Pu 0.006 0.004 0.000
F 5.065 0.160 1.236
CELL_PARAMETERS angstrom
6.901 0.250 -0.111
-0.248 6.901 0.114
-3.233 -3.660 4.880
```

Computed properties:
* volume: 232.9 Å³ per cell
* formation energy from raw total energies: -2.881 eV/atom
* magnetization: 5.86 μB/f.u.
* space group: Imma
* relative energy among the computed polymorphs: 0 meV/atom